Material: HoSi2Ir
Method: DFT, PBE
State: relaxed Values from VASP.

Output
Electronic total energy: -6.651 eV/atom

Cell and atoms, written as Quantum ESPRESSO input:
```
&SYSTEM
  ibrav = 0, nat = 8, ntyp = 3
/
ATOMIC_SPECIES
Ho 164.93 Ho.upf
Ir 192.22 Ir.upf
Si 28.09 Si.upf
ATOMIC_POSITIONS crystal
Ho 0.500 0.951 0.296
Ho 0.500 0.049 0.796
Ir 0.000 0.279 0.143
Ir 0.000 0.721 0.643
Si 0.500 0.480 0.063
Si 0.000 0.225 0.498
Si 0.500 0.520 0.563
Si 0.000 0.775 0.998
CELL_PARAMETERS angstrom
4.402 0.000 0.000
0.000 4.563 0.000
0.000 0.000 7.267
```